Arrangement A

{
  "formula": "Fe3CoB",
  "functional": "PBE",
  "state": "relaxed",
  "space_group": "No. 221",
  "lattice": [[4.081, 0.000, 0.000], [0.000, 4.081, 0.000], [0.000, 0.000, 4.081]],
  "species": ["Fe", "Fe", "Fe", "Co", "B"],
  "fractional_positions": [[0.000, 0.000, 0.500], [0.000, 0.500, 0.000], [0.500, 0.000, 0.000], [0.000, 0.000, 0.000], [0.500, 0.500, 0.500]]
}

***

Arrangement B

{
  "formula": "Fe3CoB",
  "functional": "PBE",
  "state": "relaxed",
  "space_group": "No. 221",
  "lattice": [[3.717, 0.000, 0.000], [0.000, 3.717, 0.000], [0.000, 0.000, 3.717]],
  "species": ["Fe", "Fe", "Fe", "Co", "B"],
  "fractional_positions": [[0.000, 0.000, 0.500], [0.000, 0.500, 0.000], [0.500, 0.000, 0.000], [0.500, 0.500, 0.500], [0.000, 0.000, 0.000]]
}

***

Short version: arrangement A is the least stable of them.

***

Arrangement A

{
  "formula": "FeCoB2",
  "functional": "PBE",
  "state": "relaxed",
  "space_group": "No. 26",
  "lattice": [[3.008, 0.000, 0.000], [0.000, 3.949, 0.000], [0.000, 0.000, 5.284]],
  "species": ["Fe", "Fe", "Co", "Co", "B", "B", "B", "B"],
  "fractional_positions": [[0.000, 0.123, 0.000], [0.000, 0.877, 0.500], [0.500, 0.372, 0.356], [0.500, 0.628, 0.856], [0.000, 0.377, 0.643], [0.000, 0.623, 0.143], [0.500, 0.135, 0.712], [0.500, 0.865, 0.212]]
}

***

Arrangement B

{
  "formula": "FeCoB2",
  "functional": "PBE",
  "state": "relaxed",
  "space_group": "No. 38",
  "lattice": [[3.001, 0.000, 0.000], [0.000, 2.868, 0.000], [0.000, 0.000, 7.312]],
  "species": ["Fe", "Fe", "Co", "Co", "B", "B", "B", "B"],
  "fractional_positions": [[0.000, 0.000, 0.000], [0.000, 0.500, 0.500], [0.500, 0.000, 0.278], [0.500, 0.500, 0.778], [0.000, 0.000, 0.713], [0.000, 0.500, 0.213], [0.500, 0.000, 0.568], [0.500, 0.500, 0.068]]
}

***

Short version: arrangement B is the least stable of them.

***

Arrangement A

{
  "formula": "FeCoB2",
  "functional": "PBE",
  "state": "relaxed",
  "space_group": "No. 166",
  "lattice": [[2.589, 0.000, 0.000], [-1.294, 2.242, 0.000], [0.000, 0.000, 17.111]],
  "species": ["Fe", "Fe", "Fe", "Co", "Co", "Co", "B", "B", "B", "B", "B", "B"],
  "fractional_positions": [[0.000, 0.000, 0.000], [0.333, 0.667, 0.667], [0.667, 0.333, 0.333], [0.000, 0.000, 0.500], [0.333, 0.667, 0.167], [0.667, 0.333, 0.833], [0.000, 0.000, 0.250], [0.000, 0.000, 0.750], [0.333, 0.667, 0.417], [0.333, 0.667, 0.917], [0.667, 0.333, 0.083], [0.667, 0.333, 0.583]]
}

***

Arrangement B

{
  "formula": "FeCoB2",
  "functional": "PBE",
  "state": "relaxed",
  "space_group": "No. 225",
  "lattice": [[4.960, 0.000, 0.000], [0.000, 4.960, 0.000], [0.000, 0.000, 4.960]],
  "species": ["Fe", "Fe", "Fe", "Fe", "Co", "Co", "Co", "Co", "B", "B", "B", "B", "B", "B", "B", "B"],
  "fractional_positions": [[0.000, 0.000, 0.000], [0.000, 0.500, 0.500], [0.500, 0.000, 0.500], [0.500, 0.500, 0.000], [0.000, 0.000, 0.500], [0.000, 0.500, 0.000], [0.500, 0.000, 0.000], [0.500, 0.500, 0.500], [0.250, 0.250, 0.250], [0.250, 0.250, 0.750], [0.250, 0.750, 0.250], [0.250, 0.750, 0.750], [0.750, 0.250, 0.250], [0.750, 0.250, 0.750], [0.750, 0.750, 0.250], [0.750, 0.750, 0.750]]
}

***

Arrangement C

{
  "formula": "FeCoB2",
  "functional": "PBE",
  "state": "relaxed",
  "space_group": "No. 122",
  "lattice": [[5.233, 0.000, 0.000], [0.000, 5.233, 0.000], [0.000, 0.000, 5.071]],
  "species": ["Fe", "Fe", "Fe", "Fe", "Co", "Co", "Co", "Co", "B", "B", "B", "B", "B", "B", "B", "B"],
  "fractional_positions": [[0.000, 0.000, 0.000], [0.000, 0.500, 0.250], [0.500, 0.000, 0.750], [0.500, 0.500, 0.500], [0.000, 0.000, 0.500], [0.000, 0.500, 0.750], [0.500, 0.000, 0.250], [0.500, 0.500, 0.000], [0.248, 0.250, 0.625], [0.250, 0.748, 0.875], [0.250, 0.752, 0.375], [0.252, 0.250, 0.125], [0.748, 0.750, 0.125], [0.750, 0.248, 0.375], [0.750, 0.252, 0.875], [0.752, 0.750, 0.625]]
}

***

Short version: arrangement C is the least stable of them.